[1]
! Pr2SmSi4Pd4 | OQMD | PBE | relaxed; values from VASP
&SYSTEM
  ibrav = 0, nat = 11, ntyp = 4
/
ATOMIC_SPECIES
Pr 140.91 Pr.upf
Sm 150.36 Sm.upf
Si 28.09 Si.upf
Pd 106.42 Pd.upf
CELL_PARAMETERS angstrom
-2.0712 2.1297 12.3244
2.0712 -2.1297 12.3244
2.0712 2.1297 -12.3244
ATOMIC_POSITIONS angstrom
Pr 0.0000 0.0000 3.6108
Pr 0.0000 0.0000 21.0380
Sm 0.0000 2.1297 0.0000
Si 2.0712 0.0000 1.1806
Si 0.0000 0.0000 7.4919
Si 0.0000 0.0000 17.1569
Si 0.0000 2.1297 11.1438
Pd 2.0712 0.0000 6.1883
Pd 0.0000 0.0000 9.9509
Pd 0.0000 0.0000 14.6979
Pd 0.0000 2.1297 6.1361
! E in eV/f.u.: -66.937
! Magnetization in Bohr magnetons per cell: 0.0

[2]
! Cu4Ag | OQMD | PBE | relaxed; values from VASP
&SYSTEM
  ibrav = 0, nat = 10, ntyp = 2
/
ATOMIC_SPECIES
Cu 63.55 Cu.upf
Ag 107.87 Ag.upf
CELL_PARAMETERS angstrom
9.1369 -1.3484 0.0000
9.1369 1.3484 0.0000
-0.8061 0.0000 5.2982
ATOMIC_POSITIONS angstrom
Cu 0.0000 0.0000 0.0000
Cu -0.4030 0.0000 2.6491
Cu 3.2193 0.0000 3.1038
Cu 3.6701 0.0000 0.6150
Cu 6.7412 0.0000 3.7103
Cu 10.7265 0.0000 1.5879
Cu 13.7975 0.0000 4.6832
Cu 14.2484 0.0000 2.1943
Ag 7.0879 0.0000 1.0391
Ag 10.3798 0.0000 4.2591
! E in eV/f.u.: -17.310
! Calculated formation energy in meV per atom: 76

[3]
! NaPaPO | OQMD | PBE | relaxed; values from VASP
&SYSTEM
  ibrav = 0, nat = 8, ntyp = 4
/
ATOMIC_SPECIES
Na 22.99 Na.upf
Pa 231.04 Pa.upf
P 30.97 P.upf
O 16.00 O.upf
CELL_PARAMETERS angstrom
4.0469 0.0000 0.0000
0.0000 6.6054 0.0000
0.0000 0.0000 6.8003
ATOMIC_POSITIONS angstrom
Na 0.0000 0.6708 0.0000
Na 0.0000 5.9346 3.4002
Pa 2.0235 3.1821 4.5710
Pa 2.0235 3.4233 1.1708
P 0.0000 2.0858 2.7902
P 0.0000 4.5195 6.1904
O 2.0235 1.8394 6.3776
O 2.0235 4.7659 2.9774
! E in eV/f.u.: -26.073
! Magnetization in Bohr magnetons per cell: 1.9

[4]
! Al2Mo | OQMD | PBE | relaxed; values from VASP
&SYSTEM
  ibrav = 0, nat = 6, ntyp = 2
/
ATOMIC_SPECIES
Al 26.98 Al.upf
Mo 95.94 Mo.upf
CELL_PARAMETERS angstrom
0.0000 3.5504 3.5504
3.5504 0.0000 3.5504
3.5504 3.5504 0.0000
ATOMIC_POSITIONS angstrom
Al 0.0000 0.0000 0.0000
Al 1.7752 1.7752 0.0000
Al 1.7752 0.0000 1.7752
Al 0.0000 1.7752 1.7752
Mo 2.6628 2.6628 2.6628
Mo 4.4380 4.4380 4.4380
! E in eV/f.u.: -18.334
! Magnetization in Bohr magnetons per cell: 0.0

[5]
! ErMgNO | OQMD | PBE | relaxed; values from VASP
&SYSTEM
  ibrav = 0, nat = 8, ntyp = 4
/
ATOMIC_SPECIES
Er 167.26 Er.upf
Mg 24.30 Mg.upf
N 14.01 N.upf
O 16.00 O.upf
CELL_PARAMETERS angstrom
4.6693 0.0000 0.0000
0.0000 4.6693 0.0000
0.0000 0.0000 4.4889
ATOMIC_POSITIONS angstrom
Er 1.1673 3.5020 0.0000
Er 3.5020 1.1673 0.0000
Mg 1.1673 1.1673 2.2459
Mg 3.5020 3.5020 2.2430
N 1.1673 1.1673 0.0113
N 3.5020 3.5020 4.4776
O 1.1673 3.5020 2.2445
O 3.5020 1.1673 2.2445
! E in eV/f.u.: -27.878
! Magnetization in Bohr magnetons per cell: 0.0

[6]
! HfHgPt | OQMD | PBE | relaxed; values from VASP
&SYSTEM
  ibrav = 0, nat = 6, ntyp = 3
/
ATOMIC_SPECIES
Hf 178.49 Hf.upf
Hg 200.59 Hg.upf
Pt 195.08 Pt.upf
CELL_PARAMETERS angstrom
3.5848 0.0000 0.0000
0.0000 3.5848 0.0000
0.0000 0.0000 8.9889
ATOMIC_POSITIONS angstrom
Hf 0.8962 0.8962 1.9390
Hf 2.6886 2.6886 7.0499
Hg 0.8962 0.8962 5.2418
Hg 2.6886 2.6886 3.7471
Pt 0.8962 0.8962 8.1718
Pt 2.6886 2.6886 0.8171
! E in eV/f.u.: -18.005
! Calculated formation energy in meV per atom: -565
! Magnetization in Bohr magnetons per cell: 0.0

[7]
! CuAg3 | OQMD | PBE | relaxed; values from VASP
&SYSTEM
  ibrav = 0, nat = 16, ntyp = 2
/
ATOMIC_SPECIES
Cu 63.55 Cu.upf
Ag 107.87 Ag.upf
CELL_PARAMETERS angstrom
18.6540 0.0000 0.0000
0.0000 2.8558 0.0000
-0.4073 0.0000 4.9690
ATOMIC_POSITIONS angstrom
Cu 2.1608 0.0000 1.8696
Cu 6.7590 1.4279 3.0994
Cu 11.4878 1.4279 1.8696
Cu 16.0860 0.0000 3.0994
Ag 0.0000 0.0000 0.0000
Ag -0.2036 1.4279 2.4845
Ag 2.0028 1.4279 4.3287
Ag 4.4692 1.4279 1.2666
Ag 4.4505 0.0000 3.7024
Ag 6.9169 0.0000 0.6403
Ag 9.1234 0.0000 2.4845
Ag 9.3270 1.4279 0.0000
Ag 11.3298 0.0000 4.3287
Ag 13.7962 0.0000 1.2666
Ag 13.7775 1.4279 3.7024
Ag 16.2439 1.4279 0.6403
! E in eV/f.u.: -11.889
! Calculated formation energy in meV per atom: 75

[8]
! NbTlNiHg | OQMD | PBE | relaxed; values from VASP
&SYSTEM
  ibrav = 0, nat = 16, ntyp = 4
/
ATOMIC_SPECIES
Nb 92.91 Nb.upf
Tl 204.38 Tl.upf
Ni 58.69 Ni.upf
Hg 200.59 Hg.upf
CELL_PARAMETERS angstrom
6.6846 0.0000 0.0000
0.0000 6.6846 0.0000
0.0000 0.0000 6.6846
ATOMIC_POSITIONS angstrom
Nb 0.0000 0.0000 0.0000
Nb 0.0000 3.3423 3.3423
Nb 3.3423 0.0000 3.3423
Nb 3.3423 3.3423 0.0000
Tl 0.0000 0.0000 3.3423
Tl 0.0000 3.3423 0.0000
Tl 3.3423 0.0000 0.0000
Tl 3.3423 3.3423 3.3423
Ni 1.6712 1.6712 5.0135
Ni 1.6712 5.0135 1.6712
Ni 5.0135 1.6712 1.6712
Ni 5.0135 5.0135 5.0135
Hg 1.6712 1.6712 1.6712
Hg 1.6712 5.0135 5.0135
Hg 5.0135 1.6712 5.0135
Hg 5.0135 5.0135 1.6712
! E in eV/f.u.: -16.097
! Magnetization in Bohr magnetons per cell: 0.1